# PBE ThNi12Sb4, optimized geometry
data_ThNi12Sb4
_cell_length_a 8.3414
_cell_length_b 8.3414
_cell_length_c 8.3414
_cell_angle_alpha 90.00
_cell_angle_beta 90.00
_cell_angle_gamma 90.00
_symmetry_space_group_name_H-M 'I m -3'
_symmetry_Int_Tables_number 204
_symmetry_space_group_name_Hall '-I 2 2 3'
loop_
_atom_site_label
_atom_site_type_symbol
_atom_site_fract_x
_atom_site_fract_y
_atom_site_fract_z
Th1 Th 0.0000 0.0000 0.0000
Ni1 Ni 0.0000 0.3600 0.1413
Sb1 Sb 0.2500 0.2500 0.2500
# - raw total energy (eV/atom) = -5.217
# - Fermi-level density of states (states/eV/cell) = 33.4